Tl2Fe | GGA-PBE | optimized geometry

Computed properties:
* total moment: 0.83 μB/atom
* electronic total energy: -3.9266 eV per atom
* energy of formation: 137 kJ/mol of formula units
* crystal system: monoclinic

Cell: 5.374 5.374 8.612 Å, 95.31 95.31 35.06°
Atoms (fractional coordinates):
Tl 0.126 0.126 0.393
Tl 0.163 0.163 0.852
Tl 0.837 0.837 0.148
Tl 0.874 0.874 0.607
Fe 0.437 0.437 0.884
Fe 0.563 0.563 0.116